Arrangement a

The following is a DFT calculation (PBE) of BaMnOs2 after structural relaxation.

Unit cell a=4.179 b=4.179 c=4.497 alpha=90.00 beta=90.00 gamma=90.00
Each line ends with the local moment (μB).
Positions (direct):
Os1 0.500 0.500 0.000  -0.66
Os2 0.000 0.000 0.000  -0.66
Ba1 0.500 0.000 0.500  0.05
Mn1 0.000 0.500 0.500  3.84

## Properties
- Crystal system: tetragonal
- Magnetization: 2.726 μB per cell

=====

Arrangement b

The following is a DFT calculation (PBE) of BaMnOs2 after structural relaxation.

Unit cell a=5.747 b=5.747 c=2.937 alpha=77.47 beta=77.47 gamma=121.14
Each line ends with the local moment (μB).
Positions (direct):
Mn1 0.000 0.500 0.500  3.60
Ba1 0.500 0.000 0.500  -0.01
Os1 0.500 0.500 0.000  0.10
Os2 0.000 0.000 0.000  0.10

## Properties
- Crystal system: monoclinic
- Magnetization: 3.975 μB per cell

=====

Arrangement c

The following is a DFT calculation (PBE) of BaMnOs2 after structural relaxation.

Unit cell a=4.350 b=4.350 c=6.425 alpha=70.19 beta=70.19 gamma=60.00
Each line ends with the local moment (μB).
Positions (direct):
Os1 0.987 0.987 0.038  -0.10
Os2 0.314 0.314 0.057  -0.06
Ba1 0.503 0.503 0.491  0.03
Mn1 0.695 0.695 0.914  3.42

## Properties
- Crystal system: trigonal
- Magnetization: 3.609 μB per cell

=====

Arrangement d

The following is a DFT calculation (PBE) of BaMnOs2 after structural relaxation.

Unit cell a=4.947 b=4.947 c=9.164 alpha=74.34 beta=74.34 gamma=90.00
Each line ends with the local moment (μB).
Positions (direct):
Os1 0.375 0.625 0.250  -0.22
Os2 0.875 0.625 0.750  -0.15
Os3 0.375 0.625 0.750  -0.17
Os4 0.375 0.125 0.250  -0.25
Mn1 0.500 0.500 0.000  2.97
Mn2 0.250 0.750 0.500  2.97
Ba1 0.000 0.000 0.000  0.00
Ba2 0.750 0.250 0.500  0.00

## Properties
- Crystal system: tetragonal
- Magnetization: 5.484 μB per cell

=====

In terms of stability, arrangement c leads; the second structure lies 573 meV per atom higher.

=====

Arrangement a

The following is a DFT calculation (PBE) of BaMnOs after structural relaxation.

Unit cell a=3.978 b=3.978 c=5.335 alpha=90.00 beta=90.00 gamma=120.00
Each line ends with the local moment (μB).
Positions (direct):
Mn1 0.667 0.333 0.476  0.78
Ba1 0.000 0.000 0.000  0.00
Os1 0.333 0.667 0.524  -0.10

## Properties
- Crystal system: trigonal
- Magnetization: 0.768 μB per cell

=====

Arrangement b

The following is a DFT calculation (PBE) of BaMnOs after structural relaxation.

Unit cell a=6.431 b=6.431 c=6.431 alpha=152.74 beta=146.39 gamma=43.80
Each line ends with the local moment (μB).
Positions (direct):
Mn1 0.279 0.279 0.000  2.62
Os1 0.718 0.718 0.000  -0.34
Ba1 0.003 0.003 0.000  -0.06

## Properties
- Crystal system: orthorhombic
- Magnetization: 2.251 μB per cell

=====

In terms of stability, arrangement a leads; the second structure lies 103 meV per atom higher.

=====

Arrangement a

The following is a DFT calculation (PBE) of BaMnOs after structural relaxation.

Unit cell a=4.779 b=4.779 c=4.779 alpha=60.00 beta=60.00 gamma=60.00
Each line ends with the local moment (μB).
Positions (direct):
Mn1 0.500 0.500 0.500  4.03
Os1 0.750 0.750 0.750  0.39
Ba1 0.000 0.000 0.000  0.04

## Properties
- Crystal system: cubic
- Magnetization: 4.893 μB per cell

=====

Arrangement b

The following is a DFT calculation (PBE) of BaMnOs after structural relaxation.

Unit cell a=4.813 b=4.813 c=4.813 alpha=60.00 beta=60.00 gamma=60.00
Each line ends with the local moment (μB).
Positions (direct):
Os1 0.500 0.500 0.500  0.82
Ba1 0.750 0.750 0.750  -0.03
Mn1 0.000 0.000 0.000  3.94

## Properties
- Crystal system: cubic
- Magnetization: 5.056 μB per cell

=====

In terms of stability, arrangement a leads; the second structure lies 930 meV per atom higher.

=====

Arrangement a

The following is a DFT calculation (PBE) of Ba2MnOs after structural relaxation.

Unit cell a=7.717 b=7.717 c=7.717 alpha=148.36 beta=143.55 gamma=49.03
Each line ends with the local moment (μB).
Positions (direct):
Os1 0.342 0.842 0.500  0.01
Ba1 0.744 0.244 0.500  0.02
Ba2 0.999 0.999 0.000  -0.03
Mn1 0.415 0.415 0.000  3.05

## Properties
- Crystal system: orthorhombic
- Magnetization: 3.384 μB per cell

=====

Arrangement b

The following is a DFT calculation (PBE) of Ba2MnOs after structural relaxation.

Unit cell a=4.350 b=5.059 c=6.374 alpha=66.65 beta=90.00 gamma=90.00
Each line ends with the local moment (μB).
Positions (direct):
Mn1 0.000 0.662 0.550  2.93
Ba1 0.500 0.270 0.336  -0.02
Ba2 0.000 0.980 0.915  0.00
Os1 0.500 0.588 0.699  -0.04

## Properties
- Crystal system: orthorhombic
- Magnetization: 3.163 μB per cell

=====

In terms of stability, arrangement b leads; the second structure lies 50 meV per atom higher.

=====

Arrangement a

The following is a DFT calculation (PBE) of Ba2MnOs after structural relaxation.

Unit cell a=5.474 b=5.474 c=5.474 alpha=60.00 beta=60.00 gamma=60.00
Each line ends with the local moment (μB).
Positions (direct):
Ba1 0.250 0.250 0.250  -0.05
Ba2 0.750 0.750 0.750  -0.05
Os1 0.500 0.500 0.500  0.86
Mn1 0.000 0.000 0.000  4.08

## Properties
- Crystal system: cubic
- Magnetization: 5.076 μB per cell

=====

Arrangement b

The following is a DFT calculation (PBE) of Ba2MnOs after structural relaxation.

Unit cell a=10.327 b=10.327 c=10.327 alpha=21.17 beta=21.17 gamma=21.17
Each line ends with the local moment (μB).
Positions (direct):
Os1 0.750 0.750 0.750  0.30
Ba1 0.011 0.011 0.011  -0.07
Ba2 0.489 0.489 0.489  -0.07
Mn1 0.250 0.250 0.250  4.13

## Properties
- Crystal system: trigonal
- Magnetization: 4.364 μB per cell

=====

In terms of stability, arrangement a leads; the second structure lies 235 meV per atom higher.

=====

Arrangement a

The following is a DFT calculation (PBE) of Ba2MnOs after structural relaxation.

Unit cell a=4.071 b=4.071 c=9.608 alpha=77.69 beta=77.69 gamma=59.99
Each line ends with the local moment (μB).
Positions (direct):
Mn1 0.546 0.546 0.362  0.11
Os1 0.204 0.204 0.387  -0.02
Ba1 0.787 0.787 0.637  0.02
Ba2 0.963 0.963 0.114  0.02

## Properties
- Crystal system: monoclinic
- Magnetization: 0.310 μB per cell

=====

Arrangement b

The following is a DFT calculation (PBE) of Ba2MnOs after structural relaxation.

Unit cell a=3.571 b=3.572 c=9.515 alpha=90.00 beta=90.00 gamma=90.00
Each line ends with the local moment (μB).
Positions (direct):
Ba1 0.000 0.000 0.911  0.06
Ba2 0.500 0.500 0.340  -0.05
Os1 0.500 0.500 0.661  -0.03
Mn1 0.000 0.000 0.588  3.37

## Properties
- Crystal system: tetragonal
- Magnetization: 3.634 μB per cell

=====

In terms of stability, arrangement a leads; the second structure lies 239 meV per atom higher.

=====

Arrangement a

The following is a DFT calculation (PBE) of Ba2MnOs after structural relaxation.

Unit cell a=5.328 b=5.328 c=5.328 alpha=120.25 beta=120.25 gamma=89.57
Each line ends with the local moment (μB).
Positions (direct):
Mn1 0.500 0.500 0.000  4.01
Ba1 0.750 0.250 0.500  0.00
Ba2 0.000 0.000 0.000  0.00
Os1 0.250 0.750 0.500  0.60

## Properties
- Crystal system: tetragonal
- Magnetization: 4.894 μB per cell

=====

Arrangement b

The following is a DFT calculation (PBE) of Ba2MnOs after structural relaxation.

Unit cell a=3.755 b=3.755 c=8.580 alpha=90.00 beta=90.00 gamma=90.00
Each line ends with the local moment (μB).
Positions (direct):
Ba1 0.000 0.000 0.534  -0.04
Ba2 0.000 0.000 0.966  -0.04
Mn1 0.500 0.500 0.250  4.13
Os1 0.500 0.500 0.750  0.45

## Properties
- Crystal system: tetragonal
- Magnetization: 4.741 μB per cell

=====

In terms of stability, arrangement b leads; the second structure lies 22 meV per atom higher.

=====

Arrangement a

The following is a DFT calculation (PBE) of BaMnP2 after structural relaxation.

Unit cell a=3.934 b=3.934 c=6.560 alpha=90.00 beta=90.00 gamma=60.00
Each line ends with the local moment (μB).
Positions (direct):
P1 0.125 0.125 0.166  -0.06
P2 0.125 0.125 0.834  -0.06
Ba1 0.458 0.458 0.500  -0.10
Mn1 0.792 0.792 0.000  3.15

## Properties
- Crystal system: hexagonal
- Magnetization: 2.879 μB per cell

=====

Arrangement b

The following is a DFT calculation (PBE) of BaMnP2 after structural relaxation.

Unit cell a=5.322 b=5.322 c=5.322 alpha=134.24 beta=104.90 gamma=92.59
Each line ends with the local moment (μB).
Positions (direct):
P1 0.406 0.406 0.000  -0.04
P2 0.094 0.094 0.000  -0.04
Ba1 0.750 0.250 0.500  -0.02
Mn1 0.250 0.750 0.500  3.29

## Properties
- Crystal system: orthorhombic
- Magnetization: 3.404 μB per cell

=====

In terms of stability, arrangement a leads; the second structure lies 115 meV per atom higher.